[1]
KTaRh2: optimized geometry, PBE.

```
4
Lattice="-4.8577 -0.5878 0.2560 -3.5180 -1.6923 2.9611 -1.5679 5.7803 3.1365" Properties=species:S:1:pos:R:3 pbc="T T T"
K -2.5156 0.7161 1.5382
Rh -1.6895 5.1844 2.9534
Rh -7.3784 2.2942 4.5907
Ta -4.9001 2.8359 3.5846
```

## Properties
Offset from the most stable computed form (eV per formula unit): 0.90
SG: No. 8
Calculated total energy (eV per atom): -6.59
Formation enthalpy at 0 K (eV/atom): 0.319
V (Å³/f.u.): 99.3
DOS(E_F) (states/eV per cell): 3.69

[2]
CuGe2Pb3O8: optimized geometry, PBE.

```
14
Lattice="-5.1468 -2.2814 -0.8051 4.3493 -3.2917 1.6099 -1.6251 1.2295 6.9043" Properties=species:S:1:pos:R:3 pbc="T T T"
Cu -0.8125 0.6148 3.4521
Ge 0.8283 -2.6859 2.3155
Ge -3.2510 -1.6576 5.3935
Pb 0.0964 -2.1321 5.4254
Pb -2.5190 -2.2115 2.2836
Pb 0.0000 0.0000 0.0000
O -0.4030 -1.7542 7.5470
O -2.0196 -2.5893 0.1620
O 2.3048 -2.7528 3.3153
O -4.7275 -1.5907 4.3937
O 0.0856 -1.0732 2.4939
O -2.5082 -3.2703 5.2152
O -0.3214 -3.9169 2.9045
O -2.1013 -0.4266 4.8045
```

## Properties
SG: No. 164
Calculated total energy (eV per atom): -5.76
V (Å³/f.u.): 201.6
DOS(E_F) (states/eV per cell): 4.82
Uncorrected formation energy (eV per atom): -1.176